# Sm2SbS

A crystal of Sm2SbS relaxed with PBEsol (SCAN, Alexandria via LeMat-Bulk).

Cell: 4.2104 4.2104 5.9479 Å, 90.00 90.00 90.00°
With the nearest neighbours (Å) after each atom.
Sites, in units of the cell vectors:
Sb1 0.0000 0.0000 0.0000  6 Sm 2.97-2.98
Sm1 0.5000 0.5000 0.0000  2 S 2.97, 4 Sb 2.98
Sm2 0.0000 0.0000 0.5000  2 Sb 2.97, 4 S 2.98
S1 0.5000 0.5000 0.5000  6 Sm 2.97-2.98

Calculated values
* space-group type: P4/mmm
* energy relative to the elements, uncorrected: -1.704 eV per atom
* magnetization: 0.0000 μB per atom
* crystal system: tetragonal